# RbBeF2 (GGA-PBE, relaxed)
data_RbBeF2
_space_group_name_H-M_alt 'P 1'
_space_group_IT_number 1
_space_group_name_Hall 'P 1'
_cell_length_a 5.831
_cell_length_b 5.831
_cell_length_c 5.839
_cell_angle_alpha 60.04
_cell_angle_beta 60.04
_cell_angle_gamma 90.00
loop_
_atom_site_label
_atom_site_type_symbol
_atom_site_fract_x
_atom_site_fract_y
_atom_site_fract_z
F1 F 0.375 0.625 0.750
Rb1 Rb 0.000 0.000 0.000
F2 F 0.375 0.625 0.250
F3 F 0.375 0.125 0.250
Rb2 Rb 0.750 0.250 0.500
F4 F 0.875 0.625 0.750
Be1 Be 0.250 0.750 0.500
Be2 Be 0.500 0.500 0.000
# * spin magnetization: 0.0 μB per cell
# * volume: 141 Å³ per cell
# * energy: -3.998 eV per atom